This record from Alexandria describes a geometry-optimized Rb2PuPa2Te6 structure. The functional is GGA-PBE.

Results
Raw formation energy in eV/atom: -0.99
D(E_F) in states/eV/atom: 2.2037
SG: C2/m
M_tot in μB/cell: 8.00

The structure in extended XYZ format:
```
11
Lattice="-3.210 6.867 1.452 -4.283 -5.757 -2.843 0.549 -3.000 8.681" Properties=species:S:1:pos:R:3 pbc="T T T"
Pa -3.651 -3.052 2.928
Pa -3.293 1.161 4.362
Te -5.735 -2.193 0.810
Te -1.913 -0.591 2.214
Te -1.573 -3.980 5.023
Te -5.031 -1.299 5.076
Te -5.371 2.090 2.267
Te -1.209 0.303 6.480
Rb -3.386 4.793 0.746
Rb -4.107 -3.683 -2.137
Pu 0.274 -1.500 4.341
```


This record from Alexandria describes a geometry-optimized Cs3MgCd4 structure. The functional is GGA-PBE.

Results
D(E_F) in states/eV/atom: 0.7543
SG: C2
M_tot in μB/cell: 0.00
DFT formation energy in meV/atom: -2.6

The structure in extended XYZ format:
```
8
Lattice="-4.727 -1.249 -5.741 6.018 -0.646 -4.814 -0.931 -4.788 6.760" Properties=species:S:1:pos:R:3 pbc="T T T"
Mg 0.333 -1.030 -5.657
Cd 2.324 -4.997 0.464
Cd -0.732 -1.360 -2.763
Cd -0.910 -3.616 -4.833
Cd -0.082 -3.424 -0.604
Cs -3.602 -4.216 -2.025
Cs -4.096 -1.082 -4.974
Cs 3.050 -2.708 -2.877
```


This record from Alexandria describes a geometry-optimized SrFeRu2Pt structure. The functional is GGA-PBE.

Results
D(E_F) in states/eV/atom: 1.8987
SG: P4/mmm
M_tot in μB/cell: 4.59
DFT formation energy in meV/atom: 1489.9

The structure in extended XYZ format:
```
5
Lattice="-4.245 -0.529 2.207 1.687 -4.750 2.106 1.715 2.318 3.854" Properties=species:S:1:pos:R:3 pbc="T T T"
Fe -0.421 -1.481 4.084
Pt 0.000 0.000 0.000
Sr 0.844 -2.375 1.053
Ru 0.858 1.159 1.927
Ru -2.122 -0.265 1.104
```


This record from Alexandria describes a geometry-optimized DyScZn17 structure. The functional is GGA-PBE.

Results
D(E_F) in states/eV/atom: 0.1905
SG: R3m
M_tot in μB/cell: 0.00
DFT formation energy in meV/atom: -199.3

The structure in extended XYZ format:
```
19
Lattice="-4.734 -1.199 4.656 -3.883 -4.062 -3.735 2.461 -5.865 2.251" Properties=species:S:1:pos:R:3 pbc="T T T"
Zn -1.989 -4.590 -1.926
Zn -0.636 -1.151 0.328
Zn 0.297 -4.465 2.952
Zn -4.459 -2.064 2.143
Zn -4.219 -9.079 4.992
Zn -4.078 -5.913 -0.730
Zn 0.549 -5.312 0.469
Zn -5.556 -10.043 2.863
Zn -3.801 -10.486 0.869
Zn -4.499 -4.500 3.412
Zn -2.120 -5.233 3.809
Zn -4.118 -3.210 -1.214
Zn -2.582 -2.598 3.914
Zn -0.947 -6.803 2.225
Zn -7.336 -8.193 2.051
Zn -1.717 -6.588 -0.165
Zn -5.125 -4.379 0.974
Sc -2.047 -3.701 1.055
Dy -4.094 -7.400 2.109
```